The following is a DFT calculation (PBE+U) of a relaxed CaMnO2 crystal.

Properties
The total energy comes out at -7.122 eV per atom.

The structure in POSCAR format:
```
CaMnO2
1.0
4.823 -4.157 -1.732
-0.285 -6.332 1.834
-1.143 -4.690 -4.499
Ca Mn O
4 4 8
Direct
0.625 0.625 0.625 Ca
0.125 0.625 0.625 Ca
0.625 0.625 0.125 Ca
0.625 0.125 0.625 Ca
0.625 0.125 0.125 Mn
0.125 0.125 0.625 Mn
0.125 0.625 0.125 Mn
0.125 0.125 0.125 Mn
0.879 0.879 0.879 O
0.879 0.363 0.879 O
0.879 0.879 0.363 O
0.363 0.879 0.879 O
0.371 0.887 0.371 O
0.371 0.371 0.371 O
0.887 0.371 0.371 O
0.371 0.371 0.887 O
```